No. 1
## Ta7Ni6 (PBE)

Data for a geometry-optimized Ta7Ni6 structure.

extended XYZ file:
```
13
Lattice="-0.990 -4.401 8.277 1.504 -0.288 9.301 -3.385 -0.138 8.796" Properties=species:S:1:pos:R:3 pbc="T T T"
Ta -2.400 -4.035 22.051
Ta -0.471 -0.791 4.323
Ta -1.576 -2.650 14.479
Ta 0.000 0.000 0.000
Ta -0.993 -1.670 9.127
Ta -1.877 -3.156 17.247
Ta -1.295 -2.177 11.895
Ni -3.347 -4.244 19.399
Ni -2.123 -2.226 19.902
Ni -1.924 -0.509 6.727
Ni -0.947 -4.318 19.647
Ni 0.476 -0.582 6.975
Ni -0.748 -2.601 6.472
```

Results
Energy of formation from the pure elements in eV per atom: -0.267
Energy in eV/cell: -119.8
Space-group type: No. 166

=====

No. 2
## ZnCdTeO (PBE)

Data for a geometry-optimized ZnCdTeO structure.

extended XYZ file:
```
8
Lattice="4.595 0.000 0.000 0.000 4.595 0.000 0.000 0.000 8.504" Properties=species:S:1:pos:R:3 pbc="T T T"
Zn 1.149 1.149 2.653
Zn 3.446 3.446 5.850
Cd 3.446 3.446 1.240
Cd 1.149 1.149 7.263
Te 1.149 3.446 4.252
Te 3.446 1.149 4.252
O 3.446 3.446 7.661
O 1.149 1.149 0.843
```

Results
Energy in eV/cell: -21.6
Space-group type: No. 129

=====

No. 3
## SmCo3 (PBE)

Data for a geometry-optimized SmCo3 structure.

extended XYZ file:
```
4
Lattice="-1.980 1.980 3.839 1.980 -1.980 3.839 1.980 1.980 -3.839" Properties=species:S:1:pos:R:3 pbc="T T T"
Co 1.980 0.000 1.920
Co 0.000 0.000 3.839
Co 0.000 1.980 1.920
Sm 0.000 0.000 0.000
```

Results
Energy of formation from the pure elements in eV per atom: 0.315
Energy in eV/cell: -24.8
Space-group type: No. 139